P) Density functional theory data (PBE-GGA) for crystalline CaCuOs2 at its relaxed geometry.

```
data_CaCuOs2
_cell_length_a 5.596
_cell_length_b 9.018
_cell_length_c 2.559
_cell_angle_alpha 90.00
_cell_angle_beta 90.00
_cell_angle_gamma 90.00
_symmetry_space_group_name_H-M 'C m m m'
_symmetry_Int_Tables_number 65
_symmetry_space_group_name_Hall '-C 2 2'
loop_
_atom_site_label
_atom_site_fract_x
_atom_site_fract_y
_atom_site_fract_z
Ca1 0.000 0.000 0.000
Cu1 0.000 0.500 0.000
Os1 0.250 0.250 0.500
```

Values from the calculation:
Density (g/cm³): 12.45



Q) Density functional theory data (PBE-GGA) for crystalline CaCuOs2 at its relaxed geometry.

```
data_CaCuOs2
_cell_length_a 4.085
_cell_length_b 4.085
_cell_length_c 18.940
_cell_angle_alpha 90.00
_cell_angle_beta 90.00
_cell_angle_gamma 90.00
_symmetry_space_group_name_H-M 'I -4 2 d'
_symmetry_Int_Tables_number 122
_symmetry_space_group_name_Hall 'I -4 2bw'
loop_
_atom_site_label
_atom_site_fract_x
_atom_site_fract_y
_atom_site_fract_z
Ca1 0.000 0.000 0.000
Cu1 0.000 0.000 0.500
Os1 0.146 0.250 0.625
```

Values from the calculation:
Density (g/cm³): 10.17



R) Density functional theory data (PBE-GGA) for crystalline CaCuOs2 at its relaxed geometry.

```
data_CaCuOs2
_cell_length_a 2.722
_cell_length_b 2.722
_cell_length_c 8.585
_cell_angle_alpha 90.00
_cell_angle_beta 90.00
_cell_angle_gamma 90.00
_symmetry_space_group_name_H-M 'P 4/m m m'
_symmetry_Int_Tables_number 123
_symmetry_space_group_name_Hall '-P 4 2'
loop_
_atom_site_label
_atom_site_fract_x
_atom_site_fract_y
_atom_site_fract_z
Ca1 0.000 0.000 0.000
Cu1 0.000 0.000 0.500
Os1 0.500 0.500 0.284
```

Values from the calculation:
Density (g/cm³): 12.64



Which of them is most stable, and which least? Most stable: R); least stable: Q).



P) Density functional theory data (PBE-GGA) for crystalline CaCuOs2 at its relaxed geometry.

```
data_CaCuOs2
_cell_length_a 2.630
_cell_length_b 4.250
_cell_length_c 6.095
_cell_angle_alpha 90.00
_cell_angle_beta 90.00
_cell_angle_gamma 90.00
_symmetry_space_group_name_H-M 'P m m m'
_symmetry_Int_Tables_number 47
loop_
_symmetry_equiv_pos_as_xyz
'x,y,z'
'-x,-y,-z'
'-x,-y,z'
'x,y,-z'
'x,-y,-z'
'-x,y,z'
'-x,y,-z'
'x,-y,z'
loop_
_atom_site_label
_atom_site_fract_x
_atom_site_fract_y
_atom_site_fract_z
Ca1 0.000 0.000 0.000
Cu1 0.000 0.000 0.500
Os1 0.500 0.500 0.303
```

Values from the calculation:
Density (g/cm³): 11.80



Q) Density functional theory data (PBE-GGA) for crystalline CaCuOs2 at its relaxed geometry.

```
data_CaCuOs2
_cell_length_a 2.7919
_cell_length_b 2.7919
_cell_length_c 27.9279
_cell_angle_alpha 90.00
_cell_angle_beta 90.00
_cell_angle_gamma 120.00
_symmetry_space_group_name_H-M 'R -3 m'
_symmetry_Int_Tables_number 166
_symmetry_space_group_name_Hall '-R 3 2"'
loop_
_atom_site_label
_atom_site_fract_x
_atom_site_fract_y
_atom_site_fract_z
Ca1 0.0000 0.0000 0.0000
Cu1 0.0000 0.0000 0.5000
Os1 0.0000 0.0000 0.2420
```

Values from the calculation:
Density (g/cm³): 12.79



R) Density functional theory data (PBE-GGA) for crystalline CaCuOs2 at its relaxed geometry.

```
data_CaCuOs2
_cell_length_a 11.058
_cell_length_b 2.822
_cell_length_c 4.514
_cell_angle_alpha 90.00
_cell_angle_beta 113.98
_cell_angle_gamma 90.00
_symmetry_space_group_name_H-M 'C 1 2/m 1'
_symmetry_Int_Tables_number 12
loop_
_symmetry_equiv_pos_as_xyz
'x,y,z'
'-x,-y,-z'
'-x,y,-z'
'x,-y,z'
'x+1/2,y+1/2,z'
'-x+1/2,-y+1/2,-z'
'-x+1/2,y+1/2,-z'
'x+1/2,-y+1/2,z'
loop_
_atom_site_label
_atom_site_fract_x
_atom_site_fract_y
_atom_site_fract_z
Ca1 0.000 0.000 0.000
Cu1 0.000 0.500 0.500
Os1 0.218 0.000 0.718
```

Values from the calculation:
Density (g/cm³): 12.49



Which of them is most stable, and which least? Most stable: R); least stable: Q).



P) Density functional theory data (PBE-GGA) for crystalline CaCu2Os at its relaxed geometry.

```
data_CaCu2Os
_cell_length_a 4.410
_cell_length_b 4.410
_cell_length_c 17.156
_cell_angle_alpha 90.00
_cell_angle_beta 90.00
_cell_angle_gamma 90.00
_symmetry_space_group_name_H-M 'I -4 2 d'
_symmetry_Int_Tables_number 122
_symmetry_space_group_name_Hall 'I -4 2bw'
loop_
_atom_site_label
_atom_site_fract_x
_atom_site_fract_y
_atom_site_fract_z
Ca1 0.000 0.000 0.000
Cu1 0.096 0.250 0.625
Os1 0.000 0.000 0.500
```

Values from the calculation:
Density (g/cm³): 7.11



Q) Density functional theory data (PBE-GGA) for crystalline CaCu2Os at its relaxed geometry.

```
data_CaCu2Os
_cell_length_a 3.848
_cell_length_b 3.848
_cell_length_c 8.612
_cell_angle_alpha 90.00
_cell_angle_beta 90.00
_cell_angle_gamma 90.00
_symmetry_space_group_name_H-M 'I -4 m 2'
_symmetry_Int_Tables_number 119
_symmetry_space_group_name_Hall 'I -4 -2'
loop_
_atom_site_label
_atom_site_fract_x
_atom_site_fract_y
_atom_site_fract_z
Ca1 0.000 0.000 0.000
Cu1 0.000 0.000 0.500
Cu2 0.000 0.500 0.750
Os1 0.000 0.500 0.250
```

Values from the calculation:
Density (g/cm³): 9.31



Which of them is most stable, and which least? Most stable: Q); least stable: P).



P) Density functional theory data (PBE-GGA) for crystalline Ca2Cu2Os at its relaxed geometry.

```
data_Ca2Cu2Os
_cell_length_a 3.361
_cell_length_b 3.361
_cell_length_c 17.811
_cell_angle_alpha 90.00
_cell_angle_beta 90.00
_cell_angle_gamma 90.00
_symmetry_space_group_name_H-M 'I 4/m m m'
_symmetry_Int_Tables_number 139
_symmetry_space_group_name_Hall '-I 4 2'
loop_
_atom_site_label
_atom_site_fract_x
_atom_site_fract_y
_atom_site_fract_z
Ca1 0.000 0.000 0.100
Cu1 0.000 0.500 0.250
Os1 0.000 0.000 0.500
```

Values from the calculation:
Density (g/cm³): 6.56



Q) Density functional theory data (PBE-GGA) for crystalline Ca2Cu2Os at its relaxed geometry.

```
data_Ca2Cu2Os
_cell_length_a 6.643
_cell_length_b 6.643
_cell_length_c 4.438
_cell_angle_alpha 90.00
_cell_angle_beta 90.00
_cell_angle_gamma 90.00
_symmetry_space_group_name_H-M 'P 4/m b m'
_symmetry_Int_Tables_number 127
_symmetry_space_group_name_Hall '-P 4 2ab'
loop_
_atom_site_label
_atom_site_fract_x
_atom_site_fract_y
_atom_site_fract_z
Ca1 0.184 0.316 0.000
Cu1 0.132 0.632 0.500
Os1 0.000 0.000 0.500
```

Values from the calculation:
Density (g/cm³): 6.74



R) Density functional theory data (PBE-GGA) for crystalline Ca2Cu2Os at its relaxed geometry.

```
data_Ca2Cu2Os
_cell_length_a 8.085
_cell_length_b 8.085
_cell_length_c 2.941
_cell_angle_alpha 90.00
_cell_angle_beta 90.00
_cell_angle_gamma 90.00
_symmetry_space_group_name_H-M 'P 4/m b m'
_symmetry_Int_Tables_number 127
_symmetry_space_group_name_Hall '-P 4 2ab'
loop_
_atom_site_label
_atom_site_fract_x
_atom_site_fract_y
_atom_site_fract_z
Ca1 0.185 0.315 0.000
Cu1 0.108 0.608 0.500
Os1 0.000 0.000 0.000
```

Values from the calculation:
Density (g/cm³): 6.87



Which of them is most stable, and which least? Most stable: Q); least stable: R).



P) Density functional theory data (PBE-GGA) for crystalline CaCuOs3 at its relaxed geometry.

```
data_CaCuOs3
_cell_length_a 4.650
_cell_length_b 4.650
_cell_length_c 4.650
_cell_angle_alpha 90.00
_cell_angle_beta 90.00
_cell_angle_gamma 90.00
_symmetry_space_group_name_H-M 'P m -3 m'
_symmetry_Int_Tables_number 221
_symmetry_space_group_name_Hall '-P 4 2 3'
loop_
_atom_site_label
_atom_site_fract_x
_atom_site_fract_y
_atom_site_fract_z
Ca1 0.000 0.000 0.000
Cu1 0.500 0.500 0.500
Os1 0.000 0.000 0.500
```

Values from the calculation:
Density (g/cm³): 11.14



Q) Density functional theory data (PBE-GGA) for crystalline CaCuOs3 at its relaxed geometry.

```
data_CaCuOs3
_cell_length_a 4.554
_cell_length_b 4.554
_cell_length_c 4.554
_cell_angle_alpha 90.00
_cell_angle_beta 90.00
_cell_angle_gamma 90.00
_symmetry_space_group_name_H-M 'P m -3 m'
_symmetry_Int_Tables_number 221
_symmetry_space_group_name_Hall '-P 4 2 3'
loop_
_atom_site_label
_atom_site_fract_x
_atom_site_fract_y
_atom_site_fract_z
Ca1 0.000 0.000 0.000
Cu1 0.500 0.500 0.500
Os1 0.000 0.500 0.500
```

Values from the calculation:
Density (g/cm³): 11.86



Which of them is most stable, and which least? Most stable: Q); least stable: P).



P) Density functional theory data (PBE-GGA) for crystalline CaCu2OsPb at its relaxed geometry.

```
data_CaCu2OsPb
_cell_length_a 4.740
_cell_length_b 4.740
_cell_length_c 5.652
_cell_angle_alpha 90.00
_cell_angle_beta 90.00
_cell_angle_gamma 90.00
_symmetry_space_group_name_H-M 'P 4/m m m'
_symmetry_Int_Tables_number 123
_symmetry_space_group_name_Hall '-P 4 2'
loop_
_atom_site_label
_atom_site_fract_x
_atom_site_fract_y
_atom_site_fract_z
Ca1 0.000 0.000 0.000
Cu1 0.000 0.500 0.000
Os1 0.500 0.500 0.500
Pb1 0.000 0.000 0.500
```

Values from the calculation:
Density (g/cm³): 7.38



Q) Density functional theory data (PBE-GGA) for crystalline CaCu2OsPb at its relaxed geometry.

```
data_CaCu2OsPb
_cell_length_a 4.817
_cell_length_b 4.817
_cell_length_c 5.247
_cell_angle_alpha 90.00
_cell_angle_beta 90.00
_cell_angle_gamma 90.00
_symmetry_space_group_name_H-M 'P 4/m m m'
_symmetry_Int_Tables_number 123
_symmetry_space_group_name_Hall '-P 4 2'
loop_
_atom_site_label
_atom_site_fract_x
_atom_site_fract_y
_atom_site_fract_z
Ca1 0.000 0.000 0.000
Cu1 0.000 0.500 0.000
Os1 0.000 0.000 0.500
Pb1 0.500 0.500 0.500
```

Values from the calculation:
Density (g/cm³): 7.70



Which of them is most stable, and which least? Most stable: Q); least stable: P).



P) Density functional theory data (PBE-GGA) for crystalline Ca2CuP2 at its relaxed geometry.

```
data_Ca2CuP2
_cell_length_a 5.682
_cell_length_b 5.682
_cell_length_c 7.507
_cell_angle_alpha 90.00
_cell_angle_beta 90.00
_cell_angle_gamma 90.00
_symmetry_space_group_name_H-M 'I 4/m m m'
_symmetry_Int_Tables_number 139
_symmetry_space_group_name_Hall '-I 4 2'
loop_
_atom_site_label
_atom_site_fract_x
_atom_site_fract_y
_atom_site_fract_z
Ca1 0.000 0.500 0.250
Cu1 0.000 0.000 0.000
P1 0.000 0.000 0.301
```

Values from the calculation:
Density (g/cm³): 2.82



Q) Density functional theory data (PBE-GGA) for crystalline Ca2CuP2 at its relaxed geometry.

```
data_Ca2CuP2
_cell_length_a 10.742
_cell_length_b 4.017
_cell_length_c 10.115
_cell_angle_alpha 90.00
_cell_angle_beta 110.59
_cell_angle_gamma 90.00
_symmetry_space_group_name_H-M 'C 1 2/m 1'
_symmetry_Int_Tables_number 12
loop_
_symmetry_equiv_pos_as_xyz
'x,y,z'
'-x,-y,-z'
'-x,y,-z'
'x,-y,z'
'x+1/2,y+1/2,z'
'-x+1/2,-y+1/2,-z'
'-x+1/2,y+1/2,-z'
'x+1/2,-y+1/2,z'
loop_
_atom_site_label
_atom_site_fract_x
_atom_site_fract_y
_atom_site_fract_z
Ca1 0.091 0.000 0.409
Ca2 0.199 0.500 0.148
Cu1 0.075 0.500 0.823
P1 0.043 0.000 0.913
P2 0.158 0.500 0.643
```

Values from the calculation:
Density (g/cm³): 3.34



R) Density functional theory data (PBE-GGA) for crystalline Ca2CuP2 at its relaxed geometry.

```
data_Ca2CuP2
_cell_length_a 6.785
_cell_length_b 6.785
_cell_length_c 4.234
_cell_angle_alpha 90.00
_cell_angle_beta 90.00
_cell_angle_gamma 90.00
_symmetry_space_group_name_H-M 'P 4/m b m'
_symmetry_Int_Tables_number 127
_symmetry_space_group_name_Hall '-P 4 2ab'
loop_
_atom_site_label
_atom_site_fract_x
_atom_site_fract_y
_atom_site_fract_z
Ca1 0.181 0.319 0.000
Cu1 0.000 0.000 0.500
P1 0.118 0.618 0.500
```

Values from the calculation:
Density (g/cm³): 3.50



Which of them is most stable, and which least? Most stable: Q); least stable: P).



P) Density functional theory data (PBE-GGA) for crystalline CaCuPS2 at its relaxed geometry.

```
data_CaCuPS2
_cell_length_a 5.187
_cell_length_b 5.187
_cell_length_c 5.315
_cell_angle_alpha 90.00
_cell_angle_beta 90.00
_cell_angle_gamma 90.00
_symmetry_space_group_name_H-M 'P 4/m m m'
_symmetry_Int_Tables_number 123
_symmetry_space_group_name_Hall '-P 4 2'
loop_
_atom_site_label
_atom_site_fract_x
_atom_site_fract_y
_atom_site_fract_z
Ca1 0.000 0.000 0.000
Cu1 0.500 0.500 0.500
P1 0.000 0.000 0.500
S1 0.000 0.500 0.000
```

Values from the calculation:
Density (g/cm³): 2.31



Q) Density functional theory data (PBE-GGA) for crystalline CaCuPS2 at its relaxed geometry.

```
data_CaCuPS2
_cell_length_a 4.837
_cell_length_b 4.837
_cell_length_c 4.285
_cell_angle_alpha 90.00
_cell_angle_beta 90.00
_cell_angle_gamma 90.00
_symmetry_space_group_name_H-M 'P 4/m m m'
_symmetry_Int_Tables_number 123
_symmetry_space_group_name_Hall '-P 4 2'
loop_
_atom_site_label
_atom_site_fract_x
_atom_site_fract_y
_atom_site_fract_z
Ca1 0.000 0.000 0.000
Cu1 0.500 0.500 0.500
P1 0.500 0.500 0.000
S1 0.000 0.500 0.500
```

Values from the calculation:
Density (g/cm³): 3.29



Which of them is most stable, and which least? Most stable: Q); least stable: P).